# 1
Density functional theory data (PBE-GGA) for a relaxed structure of Cs3Rb7.

Its density of states at the Fermi level is 18.7 states/eV/cell. The calculation puts the total energy at -8.93 eV/f.u. The value obtained for the density is 1.666 g cm⁻³. As for the energy of formation from the pure elements: 3.9 kJ per mole of atoms. Its crystal system is hexagonal.

The structure belongs to space group P6_3mc (No. 186); the cell edges are 15.9110, 15.9110 and 9.0668 Å and the angles 90.00°, 90.00° and 120.00°. The distinct sites, in fractional coordinates, are Cs at (0.2097, 0.4193, 0.0000), Rb at (0.0526, 0.5263, 0.6438), Rb at (0.1132, 0.2264, 0.4892) and Rb at (0.3333, 0.6667, 0.3908).

---

# 2
Density functional theory data (PBE-GGA) for a relaxed structure of Fe2CoNi.

Its density of states at the Fermi level is 5.7 states/eV/cell. The calculation puts the total energy at -29.75 eV/f.u. The energy relative to the lowest polymorph listed for this composition is 0.11 eV per formula unit. The value obtained for the density is 8.353 g cm⁻³. As for the energy of formation from the pure elements: 1.4 kJ per mole of atoms. Its crystal system is orthorhombic.

The structure belongs to space group Cmm2 (No. 35); the cell edges are 3.1304, 3.7999 and 7.6648 Å and the angles 90.00°, 90.00° and 90.00°. The distinct sites, in fractional coordinates, are Fe at (0.0000, 0.0000, 0.0000), Fe at (0.0000, 0.5000, 0.2575), Co at (0.0000, 0.5000, 0.7472) and Ni at (0.0000, 0.0000, 0.5053).

---

# 3
Density functional theory data (PBE-GGA) for a relaxed structure of ZrVP.

Its density of states at the Fermi level is 3.0 states/eV/cell. The calculation puts the total energy at -24.52 eV/f.u. The energy relative to the lowest polymorph listed for this composition is 1.88 eV per formula unit. The value obtained for the density is 5.790 g cm⁻³. As for the energy of formation from the pure elements: -46.3 kJ per mole of atoms. Its crystal system is hexagonal.

The structure belongs to space group P-6m2 (No. 187); the cell edges are 4.0225, 4.0225 and 3.5437 Å and the angles 90.00°, 90.00° and 120.00°. The distinct sites, in fractional coordinates, are Zr at (0.0000, 0.0000, 0.0000), V at (0.6667, 0.3333, 0.5000) and P at (0.3333, 0.6667, 0.5000).

---

# 4
Density functional theory data (PBE-GGA) for a relaxed structure of Mg5SnPt2.

Its density of states at the Fermi level is 5.9 states/eV/cell. The calculation puts the total energy at -27.66 eV/f.u. The value obtained for the density is 6.424 g cm⁻³. As for the energy of formation from the pure elements: -43.4 kJ per mole of atoms. Its crystal system is orthorhombic.

The structure belongs to space group Immm (No. 71); the cell edges are 4.4086, 8.3687 and 8.8338 Å and the angles 90.00°, 90.00° and 90.00°. The distinct sites, in fractional coordinates, are Mg at (0.0000, 0.0000, 0.0000), Mg at (0.0000, 0.3269, 0.3227), Sn at (0.0000, 0.5000, 0.0000) and Pt at (0.0000, 0.0000, 0.3008).

---

# 5
Density functional theory data (PBE-GGA) for a relaxed structure of GaNi2AgRu.

Its density of states at the Fermi level is 5.9 states/eV/cell. The calculation puts the total energy at -21.17 eV/f.u. The value obtained for the density is 7.617 g cm⁻³. As for the energy of formation from the pure elements: 107.1 kJ per mole of atoms. Its crystal system is tetragonal.

The structure belongs to space group P4/mmm (No. 123); the cell edges are 4.3131, 4.3131 and 4.6414 Å and the angles 90.00°, 90.00° and 90.00°. The distinct sites, in fractional coordinates, are Ga at (0.0000, 0.0000, 0.0000), Ni at (0.0000, 0.5000, 0.0000), Ag at (0.0000, 0.0000, 0.5000) and Ru at (0.5000, 0.5000, 0.5000).

---

# 6
Density functional theory data (PBE-GGA) for a relaxed structure of ScAg.

Its density of states at the Fermi level is 2.5 states/eV/cell. The calculation puts the total energy at -9.31 eV/f.u. The value obtained for the density is 5.970 g cm⁻³. As for the energy of formation from the pure elements: -6.3 kJ per mole of atoms. Its crystal system is hexagonal.

The structure belongs to space group P6_3/mmc (No. 194); the cell edges are 3.3059, 3.3059 and 8.9816 Å and the angles 90.00°, 90.00° and 120.00°. The distinct sites, in fractional coordinates, are Sc at (0.0000, 0.0000, 0.0000) and Ag at (0.3333, 0.6667, 0.2500).

---

# 7
Density functional theory data (PBE-GGA) for a relaxed structure of PuGaRuO6.

Its density of states at the Fermi level is 11.9 states/eV/cell. The calculation puts the total energy at -71.87 eV/f.u. The value obtained for the density is 8.111 g cm⁻³. Its crystal system is trigonal.

The structure belongs to space group P-31c (No. 163); the cell edges are 5.2293, 5.2293 and 8.8309 Å and the angles 90.00°, 90.00° and 120.00°. The distinct sites, in fractional coordinates, are Pu at (0.3333, 0.6667, 0.2500), Ga at (0.3333, 0.6667, 0.7500), Ru at (0.0000, 0.0000, 0.0000) and O at (0.0143, 0.3329, 0.6260).

---

# 8
Density functional theory data (PBE-GGA) for a relaxed structure of Pm2Dy6Ho3Tl.

Its density of states at the Fermi level is 30.9 states/eV/cell. The calculation puts the total energy at -53.53 eV/f.u. The value obtained for the density is 8.801 g cm⁻³. As for the energy of formation from the pure elements: -2.6 kJ per mole of atoms. Its crystal system is monoclinic.

The structure belongs to space group C2/m (No. 12); the cell edges are 6.0888, 10.5557 and 11.7116 Å and the angles 90.00°, 100.04° and 90.00°. The distinct sites, in fractional coordinates, are Pm at (0.0000, 0.1660, 0.0000), Dy at (0.2449, 0.5000, 0.7482), Dy at (0.2472, 0.3359, 0.2505), Ho at (0.0000, 0.0000, 0.5000), Ho at (0.0000, 0.3332, 0.5000) and Tl at (0.0000, 0.5000, 0.0000).